The following is a PBE-GGA calculation of an optimized crystal structure of V2ReNi, from Alexandria.

a b c (Å): 4.133 4.133 3.103
angles (deg): 90.00 90.00 90.00
Space group P4/mmm (No. 123)
One atom of each set of equivalent atoms:
V: 0.000 0.500 0.000 x2
Re: 0.000 0.000 0.500 x1
Ni: 0.500 0.500 0.500 x1

Computed properties:
formation energy from the elements: -160 meV/atom
calculated volume: 13.25 Å³ per atom
uncorrected energy: -37.11 eV per cell
spin magnetization: 0.8 μB/f.u.